Entry 1:
# TaMnGe | Alexandria via LeMat-Bulk | GGA-PBE | optimized geometry
# - M_tot (μB/cell) = 2.3
# - final energy (eV/atom) = -8.8175
# - energy relative to the elements (eV/atom) = -0.271
data_TaMnGe
_space_group_name_H-M_alt 'P 1'
_space_group_IT_number 1
_space_group_name_Hall 'P 1'
_cell_length_a 6.4838
_cell_length_b 6.4838
_cell_length_c 3.5813
_cell_angle_alpha 90.00
_cell_angle_beta 90.00
_cell_angle_gamma 120.00
loop_
_atom_site_label
_atom_site_type_symbol
_atom_site_fract_x
_atom_site_fract_y
_atom_site_fract_z
Ta1 Ta 0.4131 0.4131 0.5000
Ta2 Ta 0.5869 0.0000 0.5000
Ta3 Ta 0.0000 0.5869 0.5000
Mn1 Mn 0.7528 0.7528 0.0000
Mn2 Mn 0.2472 0.0000 0.0000
Mn3 Mn 0.0000 0.2472 0.0000
Ge1 Ge 0.6667 0.3333 0.0000
Ge2 Ge 0.3333 0.6667 0.0000
Ge3 Ge 0.0000 0.0000 0.5000

---

Entry 2:
# Pd2RuPt9 | Alexandria via LeMat-Bulk | GGA-PBE | optimized geometry
# - M_tot (μB/cell) = 0.0
# - final energy (eV/atom) = -6.1887
# - energy relative to the elements (eV/atom) = -0.020
data_Pd2RuPt9
_space_group_name_H-M_alt 'P 1'
_space_group_IT_number 1
_space_group_name_Hall 'P 1'
_cell_length_a 3.9501
_cell_length_b 3.9501
_cell_length_c 11.8690
_cell_angle_alpha 90.00
_cell_angle_beta 90.00
_cell_angle_gamma 90.00
loop_
_atom_site_label
_atom_site_type_symbol
_atom_site_fract_x
_atom_site_fract_y
_atom_site_fract_z
Pd1 Pd 0.0000 0.0000 0.3301
Pd2 Pd 0.0000 0.0000 0.6699
Ru1 Ru 0.0000 0.0000 0.0000
Pt1 Pt 0.5000 0.5000 0.0000
Pt2 Pt 0.5000 0.5000 0.3330
Pt3 Pt 0.5000 0.5000 0.6670
Pt4 Pt 0.5000 0.0000 0.1625
Pt5 Pt 0.5000 0.0000 0.5000
Pt6 Pt 0.5000 0.0000 0.8375
Pt7 Pt 0.0000 0.5000 0.1625
Pt8 Pt 0.0000 0.5000 0.5000
Pt9 Pt 0.0000 0.5000 0.8375

---

Entry 3:
# EuYAlGa | Alexandria via LeMat-Bulk | GGA-PBE | optimized geometry
# - M_tot (μB/cell) = 7.0
# - final energy (eV/atom) = -6.2690
# - energy relative to the elements (eV/atom) = -0.392
data_EuYAlGa
_space_group_name_H-M_alt 'P 1'
_space_group_IT_number 1
_space_group_name_Hall 'P 1'
_cell_length_a 5.1978
_cell_length_b 5.1978
_cell_length_c 5.1978
_cell_angle_alpha 60.00
_cell_angle_beta 60.00
_cell_angle_gamma 60.00
loop_
_atom_site_label
_atom_site_type_symbol
_atom_site_fract_x
_atom_site_fract_y
_atom_site_fract_z
Eu1 Eu 0.2500 0.2500 0.2500
Y1 Y 0.7500 0.7500 0.7500
Al1 Al 0.5000 0.5000 0.5000
Ga1 Ga 0.0000 0.0000 0.0000

---

Entry 4:
# AgBiSN2 | Alexandria via LeMat-Bulk | GGA-PBE | optimized geometry
# - E above lowest polymorph (meV/atom) = 0
# - M_tot (μB/cell) = 2.5
# - final energy (eV/atom) = -3.9326
# - formation energy from raw total energies (eV per atom) = 1.57
data_AgBiSN2
_space_group_name_H-M_alt 'P 1'
_space_group_IT_number 1
_space_group_name_Hall 'P 1'
_cell_length_a 4.1935
_cell_length_b 4.1935
_cell_length_c 5.0565
_cell_angle_alpha 90.00
_cell_angle_beta 90.00
_cell_angle_gamma 90.00
loop_
_atom_site_label
_atom_site_type_symbol
_atom_site_fract_x
_atom_site_fract_y
_atom_site_fract_z
S1 S 0.0000 0.0000 0.5000
Bi1 Bi 0.5000 0.5000 0.5000
Ag1 Ag 0.0000 0.0000 0.0000
N1 N 0.0000 0.5000 0.0000
N2 N 0.5000 0.0000 0.0000

---

Entry 5:
# Tb3Er7Pu | Alexandria via LeMat-Bulk | GGA-PBE | optimized geometry
# - M_tot (μB/cell) = 6.3
# - final energy (eV/atom) = -5.2612
# - energy relative to the elements (eV/atom) = 0.208
data_Tb3Er7Pu
_space_group_name_H-M_alt 'P 1'
_space_group_IT_number 1
_space_group_name_Hall 'P 1'
_cell_length_a 8.4832
_cell_length_b 6.9559
_cell_length_c 6.9559
_cell_angle_alpha 120.00
_cell_angle_beta 90.00
_cell_angle_gamma 90.00
loop_
_atom_site_label
_atom_site_type_symbol
_atom_site_fract_x
_atom_site_fract_y
_atom_site_fract_z
Tb1 Tb 0.7801 0.4982 0.5018
Tb2 Tb 0.7801 0.4982 0.9964
Tb3 Tb 0.7801 0.0036 0.5018
Er1 Er 0.1217 0.1689 0.8311
Er2 Er 0.1217 0.1689 0.3378
Er3 Er 0.1173 0.6667 0.3333
Er4 Er 0.4475 0.8325 0.1675
Er5 Er 0.4475 0.3349 0.1675
Er6 Er 0.4475 0.8325 0.6651
Er7 Er 0.1217 0.6622 0.8311
Pu1 Pu 0.4499 0.3333 0.6667

---

Entry 6:
# Ce4Er3ThS8 | Alexandria via LeMat-Bulk | GGA-PBE | optimized geometry
# - M_tot (μB/cell) = 2.5
# - final energy (eV/atom) = -6.8585
# - formation energy from raw total energies (eV per atom) = -1.99
data_Ce4Er3ThS8
_space_group_name_H-M_alt 'P 1'
_space_group_IT_number 1
_space_group_name_Hall 'P 1'
_cell_length_a 7.9214
_cell_length_b 7.9519
_cell_length_c 7.9226
_cell_angle_alpha 119.89
_cell_angle_beta 119.99
_cell_angle_gamma 90.00
loop_
_atom_site_label
_atom_site_type_symbol
_atom_site_fract_x
_atom_site_fract_y
_atom_site_fract_z
Ce1 Ce 0.5000 0.0000 0.0000
Ce2 Ce 0.5000 0.0000 0.5000
Ce3 Ce 0.0000 0.0000 0.0000
Ce4 Ce 0.0000 0.0000 0.5000
Er1 Er 0.5000 0.5000 0.0000
Er2 Er 0.5000 0.5000 0.5000
Er3 Er 0.0000 0.5000 0.5000
Th1 Th 0.0000 0.5000 0.0000
S1 S 0.2511 0.7402 0.9891
S2 S 0.2511 0.7402 0.5021
S3 S 0.2550 0.2652 0.5101
S4 S 0.7380 0.7402 0.9891
S5 S 0.2620 0.2598 0.0109
S6 S 0.7450 0.7348 0.4899
S7 S 0.7489 0.2598 0.4979
S8 S 0.7489 0.2598 0.0109

---

Entry 7:
# Pm3SmHo2Tm6 | Alexandria via LeMat-Bulk | GGA-PBE | optimized geometry
# - M_tot (μB/cell) = 0.0
# - final energy (eV/atom) = -4.5591
# - energy relative to the elements (eV/atom) = 0.021
data_Pm3SmHo2Tm6
_space_group_name_H-M_alt 'P 1'
_space_group_IT_number 1
_space_group_name_Hall 'P 1'
_cell_length_a 6.1489
_cell_length_b 6.1489
_cell_length_c 11.6793
_cell_angle_alpha 95.02
_cell_angle_beta 95.02
_cell_angle_gamma 119.97
loop_
_atom_site_label
_atom_site_type_symbol
_atom_site_fract_x
_atom_site_fract_y
_atom_site_fract_z
Pm1 Pm 0.1668 0.8332 0.5000
Pm2 Pm 0.8332 0.1668 0.5000
Pm3 Pm 0.5000 0.5000 0.5000
Sm1 Sm 0.0000 0.0000 0.0000
Ho1 Ho 0.3333 0.6667 0.0000
Ho2 Ho 0.6667 0.3333 0.0000
Tm1 Tm 0.9169 0.5833 0.7522
Tm2 Tm 0.7494 0.7494 0.2478
Tm3 Tm 0.0831 0.4167 0.2478
Tm4 Tm 0.5833 0.9169 0.7522
Tm5 Tm 0.2506 0.2506 0.7522
Tm6 Tm 0.4167 0.0831 0.2478

---

Entry 8:
# Y4Ir3Au | Alexandria via LeMat-Bulk | GGA-PBE | optimized geometry
# - M_tot (μB/cell) = 0.0
# - final energy (eV/atom) = -7.7571
# - energy relative to the elements (eV/atom) = -0.792
data_Y4Ir3Au
_space_group_name_H-M_alt 'P 1'
_space_group_IT_number 1
_space_group_name_Hall 'P 1'
_cell_length_a 4.9697
_cell_length_b 6.8139
_cell_length_c 9.9392
_cell_angle_alpha 90.00
_cell_angle_beta 90.00
_cell_angle_gamma 90.00
loop_
_atom_site_label
_atom_site_type_symbol
_atom_site_fract_x
_atom_site_fract_y
_atom_site_fract_z
Y1 Y 0.5000 0.7572 0.0000
Y2 Y 0.5000 0.7572 0.5000
Y3 Y 0.5000 0.2428 0.0000
Y4 Y 0.5000 0.2428 0.5000
Y5 Y 0.9997 0.7571 0.7500
Y6 Y 0.0003 0.7571 0.2500
Y7 Y 0.0003 0.2429 0.2500
Y8 Y 0.9997 0.2429 0.7500
Ir1 Ir 0.0000 0.0000 0.0000
Ir2 Ir 0.0000 0.0000 0.5000
Ir3 Ir 0.4995 0.0000 0.7500
Ir4 Ir 0.5005 0.0000 0.2500
Ir5 Ir 0.4996 0.5000 0.7500
Ir6 Ir 0.5004 0.5000 0.2500
Au1 Au 0.0000 0.5000 0.0000
Au2 Au 0.0000 0.5000 0.5000

---

Entry 9:
# SrAcLa2 | Alexandria via LeMat-Bulk | GGA-PBE | optimized geometry
# - E above lowest polymorph (meV/atom) = 44
# - M_tot (μB/cell) = 0.0
# - final energy (eV/atom) = -3.7969
# - energy relative to the elements (eV/atom) = 0.114
data_SrAcLa2
_space_group_name_H-M_alt 'P 1'
_space_group_IT_number 1
_space_group_name_Hall 'P 1'
_cell_length_a 5.4992
_cell_length_b 5.5174
_cell_length_c 5.5174
_cell_angle_alpha 90.00
_cell_angle_beta 90.00
_cell_angle_gamma 90.00
loop_
_atom_site_label
_atom_site_type_symbol
_atom_site_fract_x
_atom_site_fract_y
_atom_site_fract_z
Sr1 Sr 0.5000 0.0000 0.0000
Ac1 Ac 0.5000 0.5000 0.5000
La1 La 0.0000 0.0000 0.5000
La2 La 0.0000 0.5000 0.0000

---

Entry 10:
# LiReH3 | Alexandria via LeMat-Bulk | GGA-PBE | optimized geometry
# - E above lowest polymorph (meV/atom) = 307
# - M_tot (μB/cell) = 0.0
# - final energy (eV/atom) = -4.3971
data_LiReH3
_space_group_name_H-M_alt 'P 1'
_space_group_IT_number 1
_space_group_name_Hall 'P 1'
_cell_length_a 3.1148
_cell_length_b 3.1148
_cell_length_c 3.1148
_cell_angle_alpha 90.00
_cell_angle_beta 90.00
_cell_angle_gamma 90.00
loop_
_atom_site_label
_atom_site_type_symbol
_atom_site_fract_x
_atom_site_fract_y
_atom_site_fract_z
Re1 Re 0.5000 0.5000 0.5000
H1 H 0.0000 0.5000 0.0000
H2 H 0.0000 0.0000 0.5000
H3 H 0.5000 0.0000 0.0000
Li1 Li 0.0000 0.0000 0.0000

---

Entry 11:
# HoLuRu | Alexandria via LeMat-Bulk | GGA-PBE | optimized geometry
# - E above lowest polymorph (meV/atom) = 68
# - M_tot (μB/cell) = 0.0
# - final energy (eV/atom) = -6.4623
# - energy relative to the elements (eV/atom) = -0.337
data_HoLuRu
_space_group_name_H-M_alt 'P 1'
_space_group_IT_number 1
_space_group_name_Hall 'P 1'
_cell_length_a 4.7200
_cell_length_b 4.7200
_cell_length_c 4.7200
_cell_angle_alpha 60.00
_cell_angle_beta 60.00
_cell_angle_gamma 60.00
loop_
_atom_site_label
_atom_site_type_symbol
_atom_site_fract_x
_atom_site_fract_y
_atom_site_fract_z
Ru1 Ru 0.2500 0.2500 0.2500
Lu1 Lu 0.0000 0.0000 0.0000
Ho1 Ho 0.5000 0.5000 0.5000

---

Entry 12:
# Zr2TaMo | Alexandria via LeMat-Bulk | GGA-PBE | optimized geometry
# - E above lowest polymorph (meV/atom) = 261
# - M_tot (μB/cell) = 0.0
# - final energy (eV/atom) = -9.6993
# - energy relative to the elements (eV/atom) = 0.246
data_Zr2TaMo
_space_group_name_H-M_alt 'P 1'
_space_group_IT_number 1
_space_group_name_Hall 'P 1'
_cell_length_a 5.6309
_cell_length_b 5.6309
_cell_length_c 2.8981
_cell_angle_alpha 90.00
_cell_angle_beta 90.00
_cell_angle_gamma 120.84
loop_
_atom_site_label
_atom_site_type_symbol
_atom_site_fract_x
_atom_site_fract_y
_atom_site_fract_z
Mo1 Mo 0.5000 0.0000 0.5000
Ta1 Ta 0.0000 0.5000 0.5000
Zr1 Zr 0.0000 0.0000 0.0000
Zr2 Zr 0.5000 0.5000 0.0000

---

> Number 4 is which compound?

AgBiSN2

---

> Which formula does entry 11 have?

HoLuRu

---

What did the second record say?
# Pd2RuPt9 | Alexandria via LeMat-Bulk | GGA-PBE | optimized geometry
# - M_tot (μB/cell) = 0.0
# - final energy (eV/atom) = -6.1887
# - energy relative to the elements (eV/atom) = -0.020
data_Pd2RuPt9
_space_group_name_H-M_alt 'P 1'
_space_group_IT_number 1
_space_group_name_Hall 'P 1'
_cell_length_a 3.9501
_cell_length_b 3.9501
_cell_length_c 11.8690
_cell_angle_alpha 90.00
_cell_angle_beta 90.00
_cell_angle_gamma 90.00
loop_
_atom_site_label
_atom_site_type_symbol
_atom_site_fract_x
_atom_site_fract_y
_atom_site_fract_z
Pd1 Pd 0.0000 0.0000 0.3301
Pd2 Pd 0.0000 0.0000 0.6699
Ru1 Ru 0.0000 0.0000 0.0000
Pt1 Pt 0.5000 0.5000 0.0000
Pt2 Pt 0.5000 0.5000 0.3330
Pt3 Pt 0.5000 0.5000 0.6670
Pt4 Pt 0.5000 0.0000 0.1625
Pt5 Pt 0.5000 0.0000 0.5000
Pt6 Pt 0.5000 0.0000 0.8375
Pt7 Pt 0.0000 0.5000 0.1625
Pt8 Pt 0.0000 0.5000 0.5000
Pt9 Pt 0.0000 0.5000 0.8375

---

> What is the M_tot in the second record?

0.0 μB/cell